The following is a SCAN calculation of a crystal of AsPtPbF2 relaxed with PBEsol, from Alexandria.

Properties
raw formation energy = -0.45 eV per atom
size of the total moment = 0.00 μB/f.u.

abc: 4.1831 4.1831 5.7690
angles: 90.00 90.00 90.00
Closest atoms and distances in Å follow each position.
Space group P4/mmm (No. 123)
One atom of each set of equivalent atoms:
As1 0.0000 0.0000 0.0000  2 Pb 2.88, 4 Pt 2.96
Pt1 0.5000 0.5000 0.0000  4 As 2.96
Pb1 0.0000 0.0000 0.5000  4 F 2.09
F1 0.0000 0.5000 0.5000  2 Pb 2.09